The following is a DFT calculation (SCAN) of RbLiCo2 at its PBEsol-relaxed geometry.

a = 9.8013 Å, b = 9.8013 Å, c = 9.8013 Å
α = 153.67°, β = 153.67°, γ = 37.57°
Closest atoms and distances in Å follow each position.
Atoms (fractional coordinates):
Rb  0.3750  0.6250  0.7500  4 Li 3.16, 8 Co 3.41
Rb  0.6250  0.3750  0.2500  4 Li 3.16, 8 Co 3.41
Li  0.1250  0.8750  0.2500  4 Co 2.57
Li  0.8750  0.1250  0.7500  4 Co 2.57
Co  0.0000  0.0000  0.0000  2 Co 2.23
Co  0.0000  0.0000  0.5000  2 Co 2.23
Co  0.0000  0.5000  0.0000  2 Co 2.23
Co  0.5000  0.0000  0.5000  2 Co 2.23

Properties
Energy of formation from the pure elements ... 973 meV per atom

The following is a DFT calculation (SCAN) of B5H7 at its PBEsol-relaxed geometry.

a = 12.2298 Å, b = 5.4630 Å, c = 14.0749 Å
α = 90.00°, β = 125.08°, γ = 90.00°
Closest atoms and distances in Å follow each position.
Atoms (fractional coordinates):
B  0.0472  0.1824  0.3736  1 H 1.20
B  0.0472  0.8176  0.8736  1 H 1.20
B  0.0563  0.1276  0.8975  1 H 1.19
B  0.0563  0.8724  0.3975  1 H 1.19
B  0.0836  0.2511  0.2718  1 H 1.20
B  0.0836  0.7489  0.7718  1 H 1.20
B  0.1021  0.0047  0.2036  2 H 1.20-1.33
B  0.1021  0.9953  0.7036  2 H 1.20-1.33
B  0.1641  0.0046  0.3657  2 H 1.20-1.33
B  0.1641  0.9954  0.8657  2 H 1.20-1.33
B  0.3355  0.4990  0.2006  2 H 1.20-1.33
B  0.3355  0.5010  0.7006  2 H 1.20-1.33
B  0.3990  0.4986  0.1014  2 H 1.20-1.33
B  0.3990  0.5014  0.6014  2 H 1.20-1.33
B  0.4167  0.2523  0.1880  1 H 1.20
B  0.4167  0.7477  0.6880  1 H 1.20
B  0.4423  0.3690  0.8402  1 H 1.19
B  0.4423  0.6310  0.3402  1 H 1.19
B  0.4516  0.3210  0.3256  1 H 1.20
B  0.4516  0.6790  0.8256  1 H 1.20
B  0.5484  0.3210  0.1744  1 H 1.20
B  0.5484  0.6790  0.6744  1 H 1.20
B  0.5577  0.3690  0.6598  1 H 1.19
B  0.5577  0.6310  0.1598  1 H 1.19
B  0.5833  0.2523  0.3120  1 H 1.20
B  0.5833  0.7477  0.8120  1 H 1.20
B  0.6010  0.4986  0.3986  2 H 1.20-1.33
B  0.6010  0.5014  0.8986  2 H 1.20-1.33
B  0.6645  0.4990  0.2994  2 H 1.20-1.33
B  0.6645  0.5010  0.7994  2 H 1.20-1.33
B  0.8359  0.0046  0.1343  2 H 1.20-1.33
B  0.8359  0.9954  0.6343  2 H 1.20-1.33
B  0.8979  0.0047  0.2964  2 H 1.20-1.33
B  0.8979  0.9953  0.7964  2 H 1.20-1.33
B  0.9164  0.2511  0.2282  1 H 1.20
B  0.9164  0.7489  0.7282  1 H 1.20
B  0.9437  0.1276  0.6025  1 H 1.19
B  0.9437  0.8724  0.1025  1 H 1.19
B  0.9528  0.1824  0.1264  1 H 1.20
B  0.9528  0.8176  0.6264  1 H 1.20
H  0.0604  0.2253  0.6900  2 B 1.33-1.35
H  0.0604  0.7747  0.1900  2 B 1.33-1.35
H  0.0765  0.3215  0.4506  1 B 1.20
H  0.0765  0.6785  0.9506  1 B 1.20
H  0.0887  0.2409  0.9826  1 B 1.19
H  0.0887  0.7591  0.4826  1 B 1.19
H  0.1247  0.2253  0.8584  2 B 1.33-1.35
H  0.1247  0.7747  0.3584  2 B 1.33-1.35
H  0.1552  0.4230  0.2906  1 B 1.20
H  0.1552  0.5770  0.7906  1 B 1.20
H  0.1862  0.0019  0.6851  1 B 1.20
H  0.1862  0.9981  0.1851  1 B 1.20
H  0.2169  0.4927  0.6520  1 B 1.20
H  0.2169  0.5073  0.1520  1 B 1.20
H  0.2826  0.0033  0.9364  1 B 1.20
H  0.2826  0.9967  0.4364  1 B 1.20
H  0.3155  0.4931  0.4989  1 B 1.20
H  0.3155  0.5069  0.9989  1 B 1.20
H  0.3456  0.0800  0.1352  1 B 1.20
H  0.3456  0.9200  0.6352  1 B 1.20
H  0.3753  0.2713  0.7327  2 B 1.33-1.35
H  0.3753  0.7287  0.2327  2 B 1.33-1.35
H  0.4089  0.2555  0.8920  1 B 1.19
H  0.4089  0.7445  0.3920  1 B 1.19
H  0.4213  0.1821  0.3726  1 B 1.20
H  0.4213  0.8179  0.8726  1 B 1.20
H  0.4406  0.2713  0.6296  2 B 1.33-1.35
H  0.4406  0.7287  0.1296  2 B 1.33-1.35
H  0.5594  0.2713  0.8704  2 B 1.33-1.35
H  0.5594  0.7287  0.3704  2 B 1.33-1.35
H  0.5787  0.1821  0.1274  1 B 1.20
H  0.5787  0.8179  0.6274  1 B 1.20
H  0.5911  0.2555  0.6080  1 B 1.19
H  0.5911  0.7445  0.1080  1 B 1.19
H  0.6247  0.2713  0.7673  2 B 1.33-1.35
H  0.6247  0.7287  0.2673  2 B 1.33-1.35
H  0.6544  0.0800  0.3648  1 B 1.20
H  0.6544  0.9200  0.8648  1 B 1.20
H  0.6845  0.4931  0.0011  1 B 1.20
H  0.6845  0.5069  0.5011  1 B 1.20
H  0.7174  0.0033  0.5636  1 B 1.20
H  0.7174  0.9967  0.0636  1 B 1.20
H  0.7831  0.4927  0.8480  1 B 1.20
H  0.7831  0.5073  0.3480  1 B 1.20
H  0.8138  0.0019  0.8149  1 B 1.20
H  0.8138  0.9981  0.3149  1 B 1.20
H  0.8448  0.4230  0.2094  1 B 1.20
H  0.8448  0.5770  0.7094  1 B 1.20
H  0.8753  0.2253  0.6416  2 B 1.33-1.35
H  0.8753  0.7747  0.1416  2 B 1.33-1.35
H  0.9113  0.2409  0.5174  1 B 1.19
H  0.9113  0.7591  0.0174  1 B 1.19
H  0.9235  0.3215  0.0494  1 B 1.20
H  0.9235  0.6785  0.5494  1 B 1.20
H  0.9396  0.2253  0.8100  2 B 1.33-1.35
H  0.9396  0.7747  0.3100  2 B 1.33-1.35

The following is a DFT calculation (SCAN) of Na2FeCo at its PBEsol-relaxed geometry.

a = 4.6143 Å, b = 4.6143 Å, c = 4.6143 Å
α = 60.00°, β = 60.00°, γ = 60.00°
Closest atoms and distances in Å follow each position.
Atoms (fractional coordinates):
Na  0.2500  0.2500  0.2500  4 Co 2.83, 4 Fe 2.83
Na  0.7500  0.7500  0.7500  4 Co 2.83, 4 Fe 2.83
Fe  0.0000  0.0000  0.0000  8 Na 2.83
Co  0.5000  0.5000  0.5000  8 Na 2.83

Properties
Energy of formation from the pure elements ... 1189 meV per atom

The following is a DFT calculation (SCAN) of MgZnCo at its PBEsol-relaxed geometry.

a = 5.1402 Å, b = 5.1402 Å, c = 5.1402 Å
α = 146.46°, β = 146.46°, γ = 48.17°
Closest atoms and distances in Å follow each position.
Atoms (fractional coordinates):
Mg  0.0000  0.0000  0.0000  4 Co 2.63, 5 Zn 2.80-2.83
Zn  0.7019  0.7019  0.0000  4 Co 2.42
Co  0.3311  0.3311  0.0000  4 Zn 2.42, 4 Mg 2.63

Properties
Energy of formation from the pure elements ... 72 meV per atom

The following is a DFT calculation (SCAN) of CsPbN2O at its PBEsol-relaxed geometry.

a = 4.6061 Å, b = 4.6061 Å, c = 4.3900 Å
α = 90.00°, β = 90.00°, γ = 90.00°
Closest atoms and distances in Å follow each position.
Atoms (fractional coordinates):
Cs  0.0000  0.0000  0.0000  8 N 3.18, 4 O 3.26
Pb  0.5000  0.5000  0.5000  2 O 2.20, 4 N 2.30
N  0.0000  0.5000  0.5000  2 Pb 2.30
N  0.5000  0.0000  0.5000  2 Pb 2.30
O  0.5000  0.5000  0.0000  2 Pb 2.20

Properties
ΔE_f (raw) ... 3.6 eV/f.u.

The following is a DFT calculation (SCAN) of TlAuSCl2 at its PBEsol-relaxed geometry.

a = 4.9919 Å, b = 4.9919 Å, c = 4.7967 Å
α = 90.00°, β = 90.00°, γ = 90.00°
Closest atoms and distances in Å follow each position.
Atoms (fractional coordinates):
Tl  0.0000  0.0000  0.0000  8 Cl 3.46, 4 S 3.53
Au  0.5000  0.5000  0.5000  2 S 2.40, 4 Cl 2.50
S  0.5000  0.5000  0.0000  2 Au 2.40
Cl  0.0000  0.5000  0.5000  2 Au 2.50
Cl  0.5000  0.0000  0.5000  2 Au 2.50

Properties
ΔE_f (raw) ... -1.3 eV/f.u.

The following is a DFT calculation (SCAN) of CaNb3Br at its PBEsol-relaxed geometry.

a = 4.8184 Å, b = 4.8184 Å, c = 4.8184 Å
α = 90.00°, β = 90.00°, γ = 90.00°
Closest atoms and distances in Å follow each position.
Atoms (fractional coordinates):
Ca  0.0000  0.0000  0.0000  6 Nb 2.41
Nb  0.0000  0.0000  0.5000  2 Ca 2.41
Nb  0.0000  0.5000  0.0000  2 Ca 2.41
Nb  0.5000  0.0000  0.0000  2 Ca 2.41
Br  0.5000  0.5000  0.5000  12 Nb 3.41

Properties
ΔE_f (raw) ... 12.5 eV/f.u.

The following is a DFT calculation (SCAN) of TcIrW2 at its PBEsol-relaxed geometry.

a = 4.3963 Å, b = 4.3963 Å, c = 4.3963 Å
α = 60.00°, β = 60.00°, γ = 60.00°
Closest atoms and distances in Å follow each position.
Atoms (fractional coordinates):
Tc  0.0000  0.0000  0.0000  8 W 2.69
Ir  0.5000  0.5000  0.5000  8 W 2.69
W  0.2500  0.2500  0.2500  4 Tc 2.69, 4 Ir 2.69
W  0.7500  0.7500  0.7500  4 Ir 2.69, 4 Tc 2.69

Properties
Energy of formation from the pure elements ... 258 meV per atom

The following is a DFT calculation (SCAN) of Mn2PHAu at its PBEsol-relaxed geometry.

a = 4.5511 Å, b = 4.5511 Å, c = 4.6063 Å
α = 90.00°, β = 90.00°, γ = 90.00°
Closest atoms and distances in Å follow each position.
Atoms (fractional coordinates):
Mn  0.0000  0.5000  0.0000  2 P 2.28
Mn  0.5000  0.0000  0.0000  2 P 2.28
P  0.0000  0.0000  0.0000  4 Mn 2.28, 2 Au 2.30
H  0.5000  0.5000  0.5000  4 Au 3.22, 8 Mn 3.24
Au  0.0000  0.0000  0.5000  2 P 2.30

The following is a DFT calculation (SCAN) of Re2SiBAu at its PBEsol-relaxed geometry.

a = 4.4422 Å, b = 4.4422 Å, c = 4.3896 Å
α = 90.00°, β = 90.00°, γ = 90.00°
Closest atoms and distances in Å follow each position.
Atoms (fractional coordinates):
Re  0.0000  0.5000  0.0000  2 Si 2.22
Re  0.5000  0.0000  0.0000  2 Si 2.22
Si  0.0000  0.0000  0.0000  2 Au 2.19, 4 Re 2.22
B  0.5000  0.5000  0.5000  8 Re 3.12, 4 Au 3.14
Au  0.0000  0.0000  0.5000  2 Si 2.19

Properties
ΔE_f (raw) ... 11.1 eV/f.u.

Number 1: electronic total energy -0.9894 Ry/atom, calculated volume 23.11 Å³ per atom, total magnetic moment 7.3 Bohr magnetons per cell. Number 2: electronic total energy -0.3841 Ry/atom, calculated volume 8.02 Å³ per atom, total magnetic moment 0.0 Bohr magnetons per cell. Number 3: electronic total energy -0.7186 Ry/atom, calculated volume 17.37 Å³ per atom, total magnetic moment 5.1 Bohr magnetons per cell. Number 4: electronic total energy -0.8716 Ry/atom, calculated volume 13.76 Å³ per atom, total magnetic moment 0.0 Bohr magnetons per cell. Number 5: electronic total energy -1.9818 Ry/atom, calculated volume 18.63 Å³ per atom, total magnetic moment 3.2 Bohr magnetons per cell. Number 6: electronic total energy -2.4752 Ry/atom, calculated volume 23.91 Å³ per atom, total magnetic moment 0.5 Bohr magnetons per cell. Number 7: electronic total energy -1.7050 Ry/atom, calculated volume 22.37 Å³ per atom, total magnetic moment 0.0 Bohr magnetons per cell. Number 8: electronic total energy -4.4926 Ry/atom, calculated volume 15.02 Å³ per atom, total magnetic moment 1.4 Bohr magnetons per cell. Number 9: electronic total energy -1.7234 Ry/atom, calculated volume 19.08 Å³ per atom, total magnetic moment 9.0 Bohr magnetons per cell. Number 10: electronic total energy -3.1999 Ry/atom, calculated volume 17.32 Å³ per atom, total magnetic moment 0.8 Bohr magnetons per cell.